1.
! GGA-PBE Sc2ReI, optimized geometry; values from VASP
! ΔE to the lowest computed polymorph = 457 meV per atom
! ΔE_f (raw) = 560 meV per atom
! E = -24.42 eV/f.u.
! V = 30.67 Å³/atom
&SYSTEM
  ibrav = 0, nat = 8, ntyp = 3
/
ATOMIC_SPECIES
Sc 44.96 Sc.upf
Re 186.21 Re.upf
I 126.90 I.upf
CELL_PARAMETERS angstrom
-3.1510 3.1510 6.1777
3.1510 -3.1510 6.1777
3.1510 3.1510 -6.1777
ATOMIC_POSITIONS angstrom
Sc 4.7264 1.0846 -1.5444
Sc 1.0846 1.5755 1.5444
Sc -1.5755 2.0663 4.6332
Sc 2.0663 1.5755 7.7221
Re 0.0000 0.0000 0.0000
Re 0.0000 3.1510 3.0888
I 3.1510 0.0000 3.0888
I 0.0000 0.0000 6.1777

2.
! GGA-PBE Sr2ScReI, optimized geometry; values from VASP
! ΔE_f (raw) = 1125 meV per atom
! E = -18.07 eV/f.u.
! V = 38.58 Å³/atom
&SYSTEM
  ibrav = 0, nat = 5, ntyp = 4
/
ATOMIC_SPECIES
Sr 87.62 Sr.upf
Sc 44.96 Sc.upf
Re 186.21 Re.upf
I 126.90 I.upf
CELL_PARAMETERS angstrom
6.0302 0.0000 0.0000
0.0000 6.0302 0.0000
0.0000 0.0000 5.3042
ATOMIC_POSITIONS angstrom
Sr 0.0000 3.0151 0.0000
Sr 3.0151 0.0000 0.0000
Sc 0.0000 0.0000 2.6521
Re 3.0151 3.0151 2.6521
I 0.0000 0.0000 0.0000

3.
! GGA-PBE ScReTe2I, optimized geometry; values from VASP
! ΔE to the lowest computed polymorph = 0 meV per atom
! ΔE_f (raw) = 604 meV per atom
! E = -23.59 eV/f.u.
! V = 30.17 Å³/atom
&SYSTEM
  ibrav = 0, nat = 5, ntyp = 4
/
ATOMIC_SPECIES
Sc 44.96 Sc.upf
Re 186.21 Re.upf
Te 127.60 Te.upf
I 126.90 I.upf
CELL_PARAMETERS angstrom
5.2142 0.0000 0.0000
0.0000 5.2142 0.0000
0.0000 0.0000 5.5481
ATOMIC_POSITIONS angstrom
Sc 0.0000 0.0000 0.0000
Re 2.6071 2.6071 2.7740
Te 0.0000 2.6071 2.7740
Te 2.6071 0.0000 2.7740
I 2.6071 2.6071 0.0000

4.
! GGA-PBE ZrScRe2I, optimized geometry; values from VASP
! ΔE_f (raw) = 1885 meV per atom
! E = -31.90 eV/f.u.
! V = 26.33 Å³/atom
&SYSTEM
  ibrav = 0, nat = 5, ntyp = 4
/
ATOMIC_SPECIES
Zr 91.22 Zr.upf
Sc 44.96 Sc.upf
Re 186.21 Re.upf
I 126.90 I.upf
CELL_PARAMETERS angstrom
4.8865 0.0000 0.0000
0.0000 4.8865 0.0000
0.0000 0.0000 5.5138
ATOMIC_POSITIONS angstrom
Zr 0.0000 0.0000 0.0000
Sc 0.0000 0.0000 2.7569
Re 0.0000 2.4433 0.0000
Re 2.4433 0.0000 0.0000
I 2.4433 2.4433 2.7569

5.
! GGA-PBE ReSe2I, optimized geometry; values from VASP
! ΔE to the lowest computed polymorph = 0 meV per atom
! ΔE_f (raw) = -157 meV per atom
! E = -21.60 eV/f.u.
! V = 26.74 Å³/atom
&SYSTEM
  ibrav = 0, nat = 8, ntyp = 3
/
ATOMIC_SPECIES
Re 186.21 Re.upf
Se 78.96 Se.upf
I 126.90 I.upf
CELL_PARAMETERS angstrom
6.0357 0.0000 0.0000
0.0000 3.2437 0.0000
-1.8024 0.0000 10.9285
ATOMIC_POSITIONS angstrom
Re 0.2742 0.0000 5.4232
Re 3.9591 1.6218 5.5053
Se -0.4643 1.6218 3.6285
Se 1.6841 1.6217 6.8405
Se 2.5492 3.2435 4.0880
Se 4.6976 3.2437 7.3000
I 1.5099 1.6969 0.0106
I 2.7233 0.0751 10.9179

6.
! GGA-PBE ReSe3I, optimized geometry; values from VASP
! ΔE to the lowest computed polymorph = 322 meV per atom
! ΔE_f (raw) = 411 meV per atom
! E = -22.39 eV/f.u.
! V = 24.05 Å³/atom
&SYSTEM
  ibrav = 0, nat = 5, ntyp = 3
/
ATOMIC_SPECIES
Re 186.21 Re.upf
Se 78.96 Se.upf
I 126.90 I.upf
CELL_PARAMETERS angstrom
4.9360 0.0000 0.0000
0.0000 4.9360 0.0000
0.0000 0.0000 4.9360
ATOMIC_POSITIONS angstrom
Re 0.0000 0.0000 0.0000
Se 0.0000 0.0000 2.4680
Se 0.0000 2.4680 0.0000
Se 2.4680 0.0000 0.0000
I 2.4680 2.4680 2.4680

7.
! GGA-PBE Re2SeI, optimized geometry; values from VASP
! ΔE to the lowest computed polymorph = 0 meV per atom
! ΔE_f (raw) = 1251 meV per atom
! E = -24.93 eV/f.u.
! V = 17.04 Å³/atom
&SYSTEM
  ibrav = 0, nat = 4, ntyp = 3
/
ATOMIC_SPECIES
Re 186.21 Re.upf
Se 78.96 Se.upf
I 126.90 I.upf
CELL_PARAMETERS angstrom
0.0000 3.2425 3.2425
3.2425 0.0000 3.2425
3.2425 3.2425 0.0000
ATOMIC_POSITIONS angstrom
Re 1.6212 1.6212 1.6212
Re 4.8637 4.8637 4.8637
Se 0.0000 0.0000 0.0000
I 3.2425 3.2425 3.2425

8.
! GGA-PBE ReSe2I, optimized geometry; values from VASP
! ΔE to the lowest computed polymorph = 466 meV per atom
! ΔE_f (raw) = 309 meV per atom
! E = -19.73 eV/f.u.
! V = 30.65 Å³/atom
&SYSTEM
  ibrav = 0, nat = 8, ntyp = 3
/
ATOMIC_SPECIES
Re 186.21 Re.upf
Se 78.96 Se.upf
I 126.90 I.upf
CELL_PARAMETERS angstrom
-3.5128 3.5128 4.9672
3.5128 -3.5128 4.9672
3.5128 3.5128 -4.9672
ATOMIC_POSITIONS angstrom
Re 0.0000 0.0000 0.0000
Re 0.0000 3.5128 2.4836
Se 5.2691 0.9524 -1.2418
Se 0.9524 1.7564 1.2418
Se -1.7564 2.5603 3.7254
Se 2.5603 1.7564 6.2090
I 3.5128 0.0000 2.4836
I 0.0000 0.0000 4.9672